! Sr3LiPb GGA-PBEsol optimized geometry; values from VASP
&SYSTEM
  ibrav = 0, nat = 5, ntyp = 3
/
ATOMIC_SPECIES
Sr 87.62 Sr.upf
Li 6.94 Li.upf
Pb 207.20 Pb.upf
CELL_PARAMETERS angstrom
5.848 0.000 0.000
0.000 5.848 0.000
0.000 0.000 5.848
ATOMIC_POSITIONS angstrom
Sr 0.000 0.000 2.924
Sr 0.000 2.924 0.000
Sr 2.924 0.000 0.000
Li 0.000 0.000 0.000
Pb 2.924 2.924 2.924
! Energy   -0.1572 Ry/atom
! Space-group type   Pm-3m, No. 221
! Density of states at the Fermi level   3.0 states/eV/f.u.
! Formation energy   0.158 eV/atom
! Total magnetization   0.00 μB/f.u.